No. 1
Entry from the Alexandria database: crystalline HRu3W at its relaxed geometry (PBE).

abc: 4.8009 4.8009 5.5150
angles: 90.00 90.00 109.89
Fractional coordinates of all 10 atoms:
H  0.0095  0.9905  0.7500
H  0.9905  0.0095  0.2500
Ru  0.2555  0.7445  0.7500
Ru  0.2557  0.2557  0.0000
Ru  0.2557  0.2557  0.5000
Ru  0.7443  0.7443  0.0000
Ru  0.7443  0.7443  0.5000
Ru  0.7445  0.2555  0.2500
W  0.2600  0.7400  0.2500
W  0.7400  0.2600  0.7500

Results
The calculation puts the calculated total energy at -8.83 eV per atom. For the density of states at the Fermi level, the calculation gives 3.2 states/eV/f.u. Its space-group type is No. 63.



No. 2
Entry from the Alexandria database: crystalline HRu3W at its relaxed geometry (PBE).

abc: 5.4966 5.4966 5.0335
angles: 90.00 90.00 124.42
Fractional coordinates of all 10 atoms:
H  0.1383  0.8617  0.7500
H  0.8617  0.1383  0.2500
Ru  0.0000  0.0000  0.0000
Ru  0.0000  0.0000  0.5000
Ru  0.0621  0.4615  0.7500
Ru  0.4615  0.0621  0.2500
Ru  0.5385  0.9379  0.7500
Ru  0.9379  0.5385  0.2500
W  0.4261  0.5739  0.2500
W  0.5739  0.4261  0.7500

Results
The calculation puts the calculated total energy at -8.44 eV per atom. For the density of states at the Fermi level, the calculation gives 6.1 states/eV/f.u. Its space-group type is No. 63.



No. 3
Entry from the Alexandria database: crystalline H12Ru5W3 at its relaxed geometry (PBE).

abc: 9.3405 9.3405 9.3405
angles: 109.47 109.47 109.47
Fractional coordinates of all 80 atoms:
H  0.0556  0.2228  0.1351
H  0.0556  0.3328  0.9205
H  0.0795  0.6351  0.4123
H  0.0795  0.9444  0.6672
H  0.0877  0.7228  0.6672
H  0.0877  0.8649  0.4205
H  0.1351  0.0556  0.2228
H  0.1351  0.5795  0.9123
H  0.1672  0.2228  0.5877
H  0.1672  0.4444  0.5795
H  0.2228  0.1351  0.0556
H  0.2228  0.5877  0.1672
H  0.2772  0.3328  0.9123
H  0.2772  0.4444  0.3649
H  0.3328  0.9123  0.2772
H  0.3328  0.9205  0.0556
H  0.3649  0.2772  0.4444
H  0.3649  0.5877  0.9205
H  0.4123  0.0795  0.6351
H  0.4123  0.8328  0.7772
H  0.4205  0.0877  0.8649
H  0.4205  0.8328  0.5556
H  0.4444  0.3649  0.2772
H  0.4444  0.5795  0.1672
H  0.5556  0.4205  0.8328
H  0.5556  0.6351  0.7228
H  0.5795  0.1672  0.4444
H  0.5795  0.9123  0.1351
H  0.5877  0.1672  0.2228
H  0.5877  0.9205  0.3649
H  0.6351  0.4123  0.0795
H  0.6351  0.7228  0.5556
H  0.6672  0.0795  0.9444
H  0.6672  0.0877  0.7228
H  0.7228  0.5556  0.6351
H  0.7228  0.6672  0.0877
H  0.7772  0.4123  0.8328
H  0.7772  0.8649  0.9444
H  0.8328  0.5556  0.4205
H  0.8328  0.7772  0.4123
H  0.8649  0.4205  0.0877
H  0.8649  0.9444  0.7772
H  0.9123  0.1351  0.5795
H  0.9123  0.2772  0.3328
H  0.9205  0.0556  0.3328
H  0.9205  0.3649  0.5877
H  0.9444  0.6672  0.0795
H  0.9444  0.7772  0.8649
Ru  0.0000  0.0000  0.0000
Ru  0.0000  0.0000  0.5000
Ru  0.0000  0.5000  0.0000
Ru  0.0000  0.5000  0.5000
Ru  0.1250  0.7500  0.8750
Ru  0.1250  0.8750  0.2500
Ru  0.2500  0.1250  0.8750
Ru  0.2500  0.6250  0.3750
Ru  0.3750  0.2500  0.6250
Ru  0.3750  0.6250  0.7500
Ru  0.5000  0.0000  0.0000
Ru  0.5000  0.0000  0.5000
Ru  0.5000  0.5000  0.0000
Ru  0.5000  0.5000  0.5000
Ru  0.6250  0.3750  0.2500
Ru  0.6250  0.7500  0.3750
Ru  0.7500  0.3750  0.6250
Ru  0.7500  0.8750  0.1250
Ru  0.8750  0.1250  0.7500
Ru  0.8750  0.2500  0.1250
W  0.1250  0.2500  0.3750
W  0.1250  0.3750  0.7500
W  0.2500  0.3750  0.1250
W  0.2500  0.8750  0.6250
W  0.3750  0.1250  0.2500
W  0.3750  0.7500  0.1250
W  0.6250  0.2500  0.8750
W  0.6250  0.8750  0.7500
W  0.7500  0.1250  0.3750
W  0.7500  0.6250  0.8750
W  0.8750  0.6250  0.2500
W  0.8750  0.7500  0.6250

Results
The calculation puts the calculated total energy at -5.91 eV per atom. For the density of states at the Fermi level, the calculation gives 14.5 states/eV/f.u. Its space-group type is No. 230.